# 1
# K2Na2ZnAs2 (GGA-PBE, optimized geometry)
data_K2Na2ZnAs2
_cell_length_a 5.5039
_cell_length_b 5.5039
_cell_length_c 25.0970
_cell_angle_alpha 90.00
_cell_angle_beta 90.00
_cell_angle_gamma 120.00
_space_group_name_H-M_alt 'R -3 m'
_space_group_IT_number 166
_space_group_name_Hall '-R 3 2"'
loop_
_atom_site_label
_atom_site_fract_x
_atom_site_fract_y
_atom_site_fract_z
_atom_site_occupancy
K1 0.0000 0.0000 0.1096 1
Na1 0.0000 0.0000 0.2911 1
Zn1 0.0000 0.0000 0.5000 1
As1 0.0000 0.0000 0.4075 1
# **Energy above the most stable polymorph in this dataset**: 15 meV per atom

# 2
# RbMgBiPd (GGA-PBE, optimized geometry)
data_RbMgBiPd
_cell_length_a 7.572
_cell_length_b 7.572
_cell_length_c 7.572
_cell_angle_alpha 90.00
_cell_angle_beta 90.00
_cell_angle_gamma 90.00
_space_group_name_H-M_alt 'F -4 3 m'
_space_group_IT_number 216
_space_group_name_Hall 'F -4 2 3'
loop_
_atom_site_label
_atom_site_fract_x
_atom_site_fract_y
_atom_site_fract_z
_atom_site_occupancy
Rb1 0.000 0.000 0.000 1
Mg1 0.000 0.000 0.500 1
Bi1 0.250 0.250 0.750 1
Pd1 0.250 0.250 0.250 1
# **Energy above the most stable polymorph in this dataset**: 74 meV per atom

# 3
# PaSe2Cl2 (GGA-PBE, optimized geometry)
data_PaSe2Cl2
_cell_length_a 6.866
_cell_length_b 7.287
_cell_length_c 7.689
_cell_angle_alpha 92.56
_cell_angle_beta 112.46
_cell_angle_gamma 117.98
_space_group_name_H-M_alt 'P -1'
_space_group_IT_number 2
_space_group_name_Hall '-P 1'
loop_
_atom_site_label
_atom_site_fract_x
_atom_site_fract_y
_atom_site_fract_z
_atom_site_occupancy
Pa1 0.146 0.289 0.000 1
Se1 0.173 0.099 0.328 1
Se2 0.225 0.962 0.874 1
Cl1 0.234 0.647 0.230 1
Cl2 0.343 0.511 0.771 1
# **Size of the total moment**: 2.000 μB/cell
# **Energy above the most stable polymorph in this dataset**: 10 meV per atom

# 4
# Tb2Ge3Pt9 (GGA-PBE, optimized geometry)
data_Tb2Ge3Pt9
_cell_length_a 13.549
_cell_length_b 7.864
_cell_length_c 10.117
_cell_angle_alpha 90.00
_cell_angle_beta 116.86
_cell_angle_gamma 90.00
_space_group_name_H-M_alt 'C 1 2/c 1'
_space_group_IT_number 15
_space_group_name_Hall '-C 2yc'
loop_
_atom_site_label
_atom_site_fract_x
_atom_site_fract_y
_atom_site_fract_z
_atom_site_occupancy
Tb1 0.170 0.085 0.251 1
Ge1 0.090 0.228 0.498 1
Ge2 0.250 0.250 0.000 1
Pt1 0.000 0.366 0.250 1
Pt2 0.059 0.081 0.921 1
Pt3 0.105 0.310 0.742 1
Pt4 0.112 0.410 0.076 1
Pt5 0.222 0.418 0.420 1
# **Size of the total moment**: 0.030 μB/cell
# **VASP energy**: -6.329 eV per atom

# 5
# Er3Tm3CuTe2 (GGA-PBE, optimized geometry)
data_Er3Tm3CuTe2
_cell_length_a 8.3303
_cell_length_b 8.3303
_cell_length_c 3.8924
_cell_angle_alpha 90.00
_cell_angle_beta 90.00
_cell_angle_gamma 120.00
_space_group_name_H-M_alt 'P -6 2 m'
_space_group_IT_number 189
_space_group_name_Hall 'P -6 -2'
loop_
_atom_site_label
_atom_site_fract_x
_atom_site_fract_y
_atom_site_fract_z
_atom_site_occupancy
Er1 0.0000 0.2430 0.0000 1
Tm1 0.0000 0.5991 0.5000 1
Cu1 0.0000 0.0000 0.5000 1
Te1 0.3333 0.6667 0.0000 1
# **Size of the total moment**: 0.031 μB/cell
# **Energy above the most stable polymorph in this dataset**: 13 meV per atom

# 6
# PaSiSb (GGA-PBE, optimized geometry)
data_PaSiSb
_cell_length_a 6.667
_cell_length_b 6.667
_cell_length_c 6.667
_cell_angle_alpha 90.00
_cell_angle_beta 90.00
_cell_angle_gamma 90.00
_space_group_name_H-M_alt 'F -4 3 m'
_space_group_IT_number 216
_space_group_name_Hall 'F -4 2 3'
loop_
_atom_site_label
_atom_site_fract_x
_atom_site_fract_y
_atom_site_fract_z
_atom_site_occupancy
Pa1 0.000 0.000 0.000 1
Si1 0.250 0.250 0.250 1
Sb1 0.000 0.000 0.500 1
# **Size of the total moment**: 0.389 μB/cell
# **Energy above the most stable polymorph in this dataset**: 0 meV per atom

What did the first record say?
# K2Na2ZnAs2 (GGA-PBE, optimized geometry)
data_K2Na2ZnAs2
_cell_length_a 5.5039
_cell_length_b 5.5039
_cell_length_c 25.0970
_cell_angle_alpha 90.00
_cell_angle_beta 90.00
_cell_angle_gamma 120.00
_space_group_name_H-M_alt 'R -3 m'
_space_group_IT_number 166
_space_group_name_Hall '-R 3 2"'
loop_
_atom_site_label
_atom_site_fract_x
_atom_site_fract_y
_atom_site_fract_z
_atom_site_occupancy
K1 0.0000 0.0000 0.1096 1
Na1 0.0000 0.0000 0.2911 1
Zn1 0.0000 0.0000 0.5000 1
As1 0.0000 0.0000 0.4075 1
# **Energy above the most stable polymorph in this dataset**: 15 meV per atom

Which formula does entry 4 have? Tb2Ge3Pt9